No. 1
This record from the Open Quantum Materials Database describes a relaxed DyYB2Pd2C2 crystal. The functional is PBE.

a = 3.758 Å, b = 3.758 Å, c = 7.767 Å
α = 90.00°, β = 90.00°, γ = 90.00°
Fractional coordinates of all 8 atoms:
Dy1 0.000 0.000 0.341
B1 0.000 0.000 0.839
B2 0.500 0.500 0.161
C1 0.000 0.000 0.649
C2 0.500 0.500 0.351
Y1 0.500 0.500 0.659
Pd1 0.000 0.500 0.000
Pd2 0.500 0.000 0.000

Calculated values
As for the total energy: -7.18 eV per atom.

No. 2
This record from the Open Quantum Materials Database describes a relaxed Au crystal. The functional is PBE.

a = 9.553 Å, b = 9.553 Å, c = 9.553 Å
α = 16.65°, β = 16.65°, γ = 16.65°
Fractional coordinates of all 2 atoms:
Au1 0.283 0.283 0.283
Au2 0.717 0.717 0.717

Calculated values
As for the total energy: -3.04 eV per atom.